1.
A plane-wave DFT calculation with PBE-GGA was carried out for AgRhPb4 after structural relaxation.

Cell: 7.0554 7.0554 7.8471 Å, 116.72 116.72 90.00°
Element x y z (fractional)
Ag 0.5000 0.5000 0.0000
Ag 0.0000 0.0000 0.0000
Rh 0.2500 0.2500 0.5000
Rh 0.7500 0.7500 0.5000
Pb 0.4768 0.9768 0.2768
Pb 0.9768 0.7999 0.2768
Pb 0.2999 0.4768 0.2768
Pb 0.7001 0.5232 0.7232
Pb 0.0232 0.2001 0.7232
Pb 0.5232 0.0232 0.7232
Pb 0.2001 0.7001 0.7232
Pb 0.7999 0.2999 0.2768

Output
- excess energy over the best structure of this formula in the dataset (meV/atom) = 11
- crystal system = tetragonal
- calculated volume (Å³ per cell) = 301.5
- total energy (eV per atom) = -4.17
- size of the total moment (μB per formula unit) = 0.0
- calculated formation energy (eV/atom) = -0.001


2.
A plane-wave DFT calculation with PBE-GGA was carried out for AgRhPb4 after structural relaxation.

Cell: 5.9749 8.3184 7.9188 Å, 115.33 103.98 104.96°
Element x y z (fractional)
Ag 0.3819 0.6319 0.2638
Ag 0.6181 0.3681 0.7362
Rh 0.2523 0.0023 0.0046
Rh 0.7477 0.9977 0.9954
Pb 0.0404 0.2203 0.8572
Pb 0.7885 0.7074 0.6538
Pb 0.3168 0.6369 0.8572
Pb 0.3653 0.9463 0.6538
Pb 0.6347 0.0537 0.3462
Pb 0.6832 0.3631 0.1428
Pb 0.2115 0.2926 0.3462
Pb 0.9596 0.7797 0.1428

Output
- excess energy over the best structure of this formula in the dataset (meV/atom) = 0
- crystal system = monoclinic
- calculated volume (Å³ per cell) = 314.5
- total energy (eV per atom) = -4.18
- size of the total moment (μB per formula unit) = 0.0
- calculated formation energy (eV/atom) = -0.012


3.
A plane-wave DFT calculation with PBE-GGA was carried out for AgRhPb2 after structural relaxation.

Cell: 4.8309 4.8309 5.9589 Å, 78.77 78.77 40.66°
Element x y z (fractional)
Ag 0.5000 0.5000 0.0000
Rh 0.0000 0.0000 0.5000
Pb 0.2598 0.2598 0.7311
Pb 0.7402 0.7402 0.2689

Output
- excess energy over the best structure of this formula in the dataset (meV/atom) = 119
- crystal system = monoclinic
- calculated volume (Å³ per cell) = 88.6
- total energy (eV per atom) = -4.21
- size of the total moment (μB per formula unit) = 0.0
- calculated formation energy (eV/atom) = 0.192


4.
A plane-wave DFT calculation with PBE-GGA was carried out for AgRhPb2 after structural relaxation.

Cell: 3.4421 3.4421 7.4456 Å, 90.00 90.00 90.00°
Element x y z (fractional)
Ag 0.5000 0.5000 0.0000
Rh 0.5000 0.5000 0.5000
Pb 0.0000 0.0000 0.2763
Pb 0.0000 0.0000 0.7237

Output
- excess energy over the best structure of this formula in the dataset (meV/atom) = 32
- crystal system = tetragonal
- calculated volume (Å³ per cell) = 88.2
- total energy (eV per atom) = -4.30
- size of the total moment (μB per formula unit) = 0.0
- calculated formation energy (eV/atom) = 0.104


5.
A plane-wave DFT calculation with PBE-GGA was carried out for AgRhPb after structural relaxation.

Cell: 5.3456 5.3456 5.3456 Å, 141.91 141.91 54.97°
Element x y z (fractional)
Ag 0.0071 0.0071 0.0000
Rh 0.6693 0.6693 0.0000
Pb 0.3236 0.3236 0.0000

Output
- excess energy over the best structure of this formula in the dataset (meV/atom) = 91
- crystal system = tetragonal
- calculated volume (Å³ per cell) = 57.7
- total energy (eV per atom) = -4.47
- size of the total moment (μB per formula unit) = 0.0
- calculated formation energy (eV/atom) = 0.165


6.
A plane-wave DFT calculation with PBE-GGA was carried out for AgRhPb2 after structural relaxation.

Cell: 3.5264 3.5264 7.3384 Å, 90.00 90.00 90.00°
Element x y z (fractional)
Ag 0.5000 0.5000 0.7196
Rh 0.0000 0.0000 0.5191
Pb 0.0000 0.0000 0.9412
Pb 0.5000 0.5000 0.3201

Output
- excess energy over the best structure of this formula in the dataset (meV/atom) = 40
- crystal system = tetragonal
- calculated volume (Å³ per cell) = 91.3
- total energy (eV per atom) = -4.29
- size of the total moment (μB per formula unit) = 0.0
- calculated formation energy (eV/atom) = 0.113


7.
A plane-wave DFT calculation with PBE-GGA was carried out for AgRhPb after structural relaxation.

Cell: 4.5290 4.5290 4.5290 Å, 60.00 60.00 60.00°
Element x y z (fractional)
Ag 0.5000 0.5000 0.5000
Rh 0.0000 0.0000 0.0000
Pb 0.2500 0.2500 0.2500

Output
- excess energy over the best structure of this formula in the dataset (meV/atom) = 274
- crystal system = cubic
- calculated volume (Å³ per cell) = 65.7
- total energy (eV per atom) = -4.29
- size of the total moment (μB per formula unit) = 0.0
- calculated formation energy (eV/atom) = 0.348


8.
A plane-wave DFT calculation with PBE-GGA was carried out for AgRhPb2 after structural relaxation.

Cell: 5.0025 5.0025 5.0025 Å, 60.00 60.00 60.00°
Element x y z (fractional)
Ag 0.5000 0.5000 0.5000
Rh 0.7500 0.7500 0.7500
Pb 0.0000 0.0000 0.0000
Pb 0.2500 0.2500 0.2500

Output
- excess energy over the best structure of this formula in the dataset (meV/atom) = 253
- crystal system = cubic
- calculated volume (Å³ per cell) = 88.5
- total energy (eV per atom) = -4.08
- size of the total moment (μB per formula unit) = 0.0
- calculated formation energy (eV/atom) = 0.325


9.
A plane-wave DFT calculation with PBE-GGA was carried out for AgRhPb after structural relaxation.

Cell: 4.5169 4.5169 4.5169 Å, 60.00 60.00 60.00°
Element x y z (fractional)
Ag 0.0000 0.0000 0.0000
Rh 0.2500 0.2500 0.2500
Pb 0.5000 0.5000 0.5000

Output
- excess energy over the best structure of this formula in the dataset (meV/atom) = 65
- crystal system = cubic
- calculated volume (Å³ per cell) = 65.2
- total energy (eV per atom) = -4.50
- size of the total moment (μB per formula unit) = 0.0
- calculated formation energy (eV/atom) = 0.138


10.
A plane-wave DFT calculation with PBE-GGA was carried out for AgRhPb2 after structural relaxation.

Cell: 3.4826 4.9854 4.9705 Å, 90.00 90.00 90.00°
Element x y z (fractional)
Ag 0.5000 0.0000 0.5000
Rh 0.5000 0.5000 0.0000
Pb 0.0000 0.0000 0.0000
Pb 0.0000 0.5000 0.5000

Output
- excess energy over the best structure of this formula in the dataset (meV/atom) = 91
- crystal system = orthorhombic
- calculated volume (Å³ per cell) = 86.3
- total energy (eV per atom) = -4.24
- size of the total moment (μB per formula unit) = 0.0
- calculated formation energy (eV/atom) = 0.163


11.
A plane-wave DFT calculation with PBE-GGA was carried out for AgRh3Pb after structural relaxation.

Cell: 4.8325 4.8325 4.8325 Å, 90.00 90.00 90.00°
Site moments in Bohr magnetons follow the coordinates.
Element x y z (fractional)
Pb 0.5000 0.5000 0.5000  -0.02
Rh 0.0000 0.5000 0.0000  0.20
Rh 0.0000 0.0000 0.5000  0.24
Rh 0.5000 0.0000 0.0000  0.15
Ag 0.0000 0.0000 0.0000  0.00

Output
- excess energy over the best structure of this formula in the dataset (meV/atom) = 0
- crystal system = cubic
- calculated volume (Å³ per cell) = 112.9
- total energy (eV per atom) = -4.36
- size of the total moment (μB per formula unit) = 0.5
- calculated formation energy (eV/atom) = 1.361


12.
A plane-wave DFT calculation with PBE-GGA was carried out for AgRhPb after structural relaxation.

Cell: 4.5984 4.5984 3.1835 Å, 90.00 90.00 120.00°
Element x y z (fractional)
Ag 0.0000 0.0000 0.0083
Rh 0.3333 0.6667 0.5822
Pb 0.6667 0.3333 0.4095

Output
- excess energy over the best structure of this formula in the dataset (meV/atom) = 97
- crystal system = trigonal
- calculated volume (Å³ per cell) = 58.3
- total energy (eV per atom) = -4.47
- size of the total moment (μB per formula unit) = 0.0
- calculated formation energy (eV/atom) = 0.171


13.
A plane-wave DFT calculation with PBE-GGA was carried out for AgRhPb2 after structural relaxation.

Cell: 5.6855 5.6855 5.6855 Å, 136.26 136.26 63.58°
Element x y z (fractional)
Ag 0.7500 0.2500 0.5000
Rh 0.5000 0.5000 0.0000
Pb 0.0000 0.0000 0.0000
Pb 0.2500 0.7500 0.5000

Output
- excess energy over the best structure of this formula in the dataset (meV/atom) = 130
- crystal system = tetragonal
- calculated volume (Å³ per cell) = 86.7
- total energy (eV per atom) = -4.20
- size of the total moment (μB per formula unit) = 0.0
- calculated formation energy (eV/atom) = 0.202


14.
A plane-wave DFT calculation with PBE-GGA was carried out for Ag2RhPb2 after structural relaxation.

Cell: 3.6843 3.6843 8.8192 Å, 77.94 77.94 90.00°
Element x y z (fractional)
Pb 0.4070 0.4070 0.1860
Pb 0.5930 0.5930 0.8140
Rh 0.0000 0.0000 0.0000
Ag 0.7500 0.2500 0.5000
Ag 0.2500 0.7500 0.5000

Output
- excess energy over the best structure of this formula in the dataset (meV/atom) = 0
- crystal system = tetragonal
- calculated volume (Å³ per cell) = 114.4
- total energy (eV per atom) = -3.86
- size of the total moment (μB per formula unit) = 0.0
- calculated formation energy (eV/atom) = 0.239


15.
A plane-wave DFT calculation with PBE-GGA was carried out for AgRhPb2 after structural relaxation.

Cell: 5.6212 5.6212 4.6377 Å, 90.00 90.00 143.25°
Element x y z (fractional)
Ag 0.5426 0.4574 0.5000
Rh 0.7019 0.2981 0.0000
Pb 0.9783 0.0217 0.0000
Pb 0.2677 0.7323 0.5000

Output
- excess energy over the best structure of this formula in the dataset (meV/atom) = 0
- crystal system = orthorhombic
- calculated volume (Å³ per cell) = 87.7
- total energy (eV per atom) = -4.33
- size of the total moment (μB per formula unit) = 0.0
- calculated formation energy (eV/atom) = 0.072


16.
A plane-wave DFT calculation with PBE-GGA was carried out for Ag2RhPb2 after structural relaxation.

Cell: 7.2822 7.2822 4.2515 Å, 90.00 90.00 90.00°
Element x y z (fractional)
Pb 0.3394 0.8394 0.0000
Pb 0.8394 0.6606 0.0000
Pb 0.6606 0.1606 0.0000
Pb 0.1606 0.3394 0.0000
Rh 0.0000 0.0000 0.0000
Rh 0.5000 0.5000 0.0000
Ag 0.1421 0.6421 0.5000
Ag 0.6421 0.8579 0.5000
Ag 0.8579 0.3579 0.5000
Ag 0.3579 0.1421 0.5000

Output
- excess energy over the best structure of this formula in the dataset (meV/atom) = 51
- crystal system = tetragonal
- calculated volume (Å³ per cell) = 225.5
- total energy (eV per atom) = -3.80
- size of the total moment (μB per formula unit) = 0.0
- calculated formation energy (eV/atom) = 0.290


17.
A plane-wave DFT calculation with PBE-GGA was carried out for AgRhPb2 after structural relaxation.

Cell: 8.7335 8.7335 6.7704 Å, 49.84 49.84 90.00°
Element x y z (fractional)
Pb 0.5303 0.1250 0.2500
Pb 0.2197 0.6250 0.2500
Pb 0.3750 0.4697 0.7500
Pb 0.8750 0.7803 0.7500
Rh 0.5000 0.5000 0.0000
Rh 0.2500 0.7500 0.5000
Ag 0.0000 0.0000 0.0000
Ag 0.7500 0.2500 0.5000

Output
- excess energy over the best structure of this formula in the dataset (meV/atom) = 184
- crystal system = tetragonal
- calculated volume (Å³ per cell) = 211.7
- total energy (eV per atom) = -4.15
- size of the total moment (μB per formula unit) = 0.0
- calculated formation energy (eV/atom) = 0.257


18.
A plane-wave DFT calculation with PBE-GGA was carried out for AgRhPb2 after structural relaxation.

Cell: 6.8759 6.8759 6.8759 Å, 152.92 141.44 47.75°
Element x y z (fractional)
Ag 0.3109 0.8109 0.5000
Rh 0.5040 0.5040 0.0000
Pb 0.9844 0.9844 0.0000
Pb 0.7007 0.2007 0.5000

Output
- excess energy over the best structure of this formula in the dataset (meV/atom) = 16
- crystal system = orthorhombic
- calculated volume (Å³ per cell) = 91.9
- total energy (eV per atom) = -4.32
- size of the total moment (μB per formula unit) = 0.0
- calculated formation energy (eV/atom) = 0.089


19.
A plane-wave DFT calculation with PBE-GGA was carried out for Ag2RhPb8 after structural relaxation.

Cell: 5.3099 10.7492 8.0281 Å, 130.85 109.31 90.00°
Element x y z (fractional)
Ag 0.2233 0.7349 0.4465
Ag 0.7767 0.2651 0.5535
Rh 0.5000 0.0000 0.0000
Pb 0.6460 0.8990 0.2921
Pb 0.3484 0.6123 0.6969
Pb 0.1440 0.1502 0.2880
Pb 0.0086 0.3545 0.0172
Pb 0.8560 0.8498 0.7120
Pb 0.6516 0.3877 0.3031
Pb 0.3540 0.1010 0.7079
Pb 0.9914 0.6455 0.9828

Output
- crystal system = monoclinic
- calculated volume (Å³ per cell) = 311.7
- total energy (eV per atom) = -3.76
- size of the total moment (μB per formula unit) = 0.0
- calculated formation energy (eV/atom) = 0.121


20.
A plane-wave DFT calculation with PBE-GGA was carried out for SrAgRhPb2 after structural relaxation.

Cell: 5.2368 5.2368 5.3410 Å, 90.00 90.00 90.00°
Element x y z (fractional)
Pb 0.0000 0.5000 0.0000
Pb 0.5000 0.0000 0.0000
Sr 0.5000 0.5000 0.5000
Rh 0.0000 0.0000 0.0000
Ag 0.0000 0.0000 0.5000

Output
- crystal system = tetragonal
- calculated volume (Å³ per cell) = 146.5
- total energy (eV per atom) = -3.94
- size of the total moment (μB per formula unit) = 0.0
- calculated formation energy (eV/atom) = -0.076